Entry 1:
Sr2Hg2Pt: relaxed, PBE.

It has space group P4/mbm (No. 127), with a = 8.074 Å, b = 8.074 Å, c = 5.029 Å, α = 90.00°, β = 90.00° and γ = 90.00°. The distinct sites, in fractional coordinates, are Sr at (0.175, 0.325, 0.000), Hg at (0.136, 0.636, 0.500) and Pt at (0.000, 0.000, 0.000).

The value obtained for the formation energy is -0.30 eV/atom. Its magnetic moment is 0.000 μB per formula unit. The calculation puts the volume at 327.9 Å³ per cell.

Entry 2:
AcBN2: relaxed, PBE.

It has space group R-3m (No. 166, hexagonal axes), with a = 4.1081 Å, b = 4.1081 Å, c = 15.1992 Å, α = 90.00°, β = 90.00° and γ = 120.00°. The distinct sites, in fractional coordinates, are Ac at (0.0000, 0.0000, 0.0000), B at (0.0000, 0.0000, 0.5000) and N at (0.0000, 0.0000, 0.4114).

The value obtained for the raw formation energy is -1.26 eV per atom. Its magnetic moment is 0.000 μB per formula unit. The calculation puts the volume at 222.1 Å³ per cell.

Entry 3:
DyPaFeN4: relaxed, PBE.

It has space group I4mm (No. 107), with a = 3.703 Å, b = 3.703 Å, c = 11.984 Å, α = 90.00°, β = 90.00° and γ = 90.00°. The distinct sites, in fractional coordinates, are Dy at (0.000, 0.000, 0.000), Pa at (0.000, 0.000, 0.718), Fe at (0.000, 0.000, 0.362), N at (0.000, 0.000, 0.188), N at (0.000, 0.000, 0.538) and N at (0.000, 0.500, 0.354).

The value obtained for the raw formation energy is -1.02 eV per atom. Its magnetic moment is 2.067 μB per formula unit. The calculation puts the volume at 164.4 Å³ per cell.

Entry 4:
PrLuTe: relaxed, PBE.

It has space group I4mm (No. 107), with a = 3.912 Å, b = 3.912 Å, c = 11.751 Å, α = 90.00°, β = 90.00° and γ = 90.00°. The distinct sites, in fractional coordinates, are Pr at (0.000, 0.000, 0.000), Lu at (0.000, 0.000, 0.312) and Te at (0.000, 0.000, 0.679).

The value obtained for the raw formation energy is -0.76 eV per atom. Its magnetic moment is 0.001 μB per formula unit. The calculation puts the volume at 179.8 Å³ per cell.

Entry 5:
KNbVAs2: relaxed, PBE.

It has space group P4/mmm (No. 123), with a = 4.855 Å, b = 4.855 Å, c = 4.959 Å, α = 90.00°, β = 90.00° and γ = 90.00°. The distinct sites, in fractional coordinates, are K at (0.000, 0.000, 0.000), Nb at (0.500, 0.500, 0.000), V at (0.000, 0.000, 0.500) and As at (0.000, 0.500, 0.500).

The value obtained for the formation energy is 1.16 eV/atom. Its magnetic moment is 1.805 μB per formula unit. The calculation puts the volume at 116.9 Å³ per cell.

Entry 6:
CrIrSN2: relaxed, PBE.

It has space group P4/mmm (No. 123), with a = 3.743 Å, b = 3.743 Å, c = 5.397 Å, α = 90.00°, β = 90.00° and γ = 90.00°. The distinct sites, in fractional coordinates, are Cr at (0.000, 0.000, 0.000), Ir at (0.500, 0.500, 0.500), S at (0.500, 0.500, 0.000) and N at (0.000, 0.500, 0.500).

The value obtained for the raw formation energy is 0.78 eV per atom. Its magnetic moment is 4.192 μB per formula unit. The calculation puts the volume at 75.6 Å³ per cell.

Entry 7:
NaGaCuAu6: relaxed, PBE.

It has space group Imma (No. 74), with a = 7.860 Å, b = 8.713 Å, c = 11.577 Å, α = 90.00°, β = 90.00° and γ = 90.00°. The distinct sites, in fractional coordinates, are Na at (0.000, 0.250, 0.138), Ga at (0.000, 0.000, 0.500), Cu at (0.250, 0.250, 0.750), Au at (0.000, 0.250, 0.385), Au at (0.000, 0.250, 0.888) and Au at (0.238, 0.004, 0.873).

The value obtained for the formation energy is 0.08 eV/atom. Its magnetic moment is 0.000 μB per formula unit. The calculation puts the volume at 792.8 Å³ per cell.

Entry 8:
CaNdAgRh: relaxed, PBE.

It has space group F-43m (No. 216), with a = 7.192 Å, b = 7.192 Å, c = 7.192 Å, α = 90.00°, β = 90.00° and γ = 90.00°. The distinct sites, in fractional coordinates, are Ca at (0.000, 0.000, 0.000), Nd at (0.000, 0.000, 0.500), Ag at (0.250, 0.250, 0.750) and Rh at (0.250, 0.250, 0.250).

The value obtained for the formation energy is -0.40 eV/atom. Its magnetic moment is 0.000 μB per formula unit. The calculation puts the volume at 372.0 Å³ per cell.

Entry 9:
Sr2CoW: relaxed, PBE.

It has space group Cmmm (No. 65), with a = 6.385 Å, b = 9.819 Å, c = 3.014 Å, α = 90.00°, β = 90.00° and γ = 90.00°. The distinct sites, in fractional coordinates, are Sr at (0.250, 0.250, 0.000), Co at (0.000, 0.000, 0.500) and W at (0.000, 0.500, 0.500).

The value obtained for the formation energy is 1.31 eV/atom. Its magnetic moment is 1.914 μB per formula unit. The calculation puts the volume at 189.0 Å³ per cell.

Entry 10:
CaCe3Hg12: relaxed, PBE.

It has space group P4/mmm (No. 123), with a = 4.747 Å, b = 4.747 Å, c = 18.849 Å, α = 90.00°, β = 90.00° and γ = 90.00°. The distinct sites, in fractional coordinates, are Ca at (0.000, 0.000, 0.000), Ce at (0.000, 0.000, 0.247), Ce at (0.000, 0.000, 0.500), Hg at (0.000, 0.500, 0.125), Hg at (0.000, 0.500, 0.374), Hg at (0.500, 0.500, 0.000), Hg at (0.500, 0.500, 0.250) and Hg at (0.500, 0.500, 0.500).

The value obtained for the formation energy is -0.28 eV/atom. Its magnetic moment is 4.849 μB per formula unit. The calculation puts the volume at 424.7 Å³ per cell.

Entry 11:
BaLiHoMg: relaxed, PBE.

It has space group F-43m (No. 216), with a = 8.106 Å, b = 8.106 Å, c = 8.106 Å, α = 90.00°, β = 90.00° and γ = 90.00°. The distinct sites, in fractional coordinates, are Ba at (0.000, 0.000, 0.000), Li at (0.250, 0.250, 0.750), Ho at (0.000, 0.000, 0.500) and Mg at (0.250, 0.250, 0.250).

The value obtained for the formation energy is 0.14 eV/atom. Its magnetic moment is 0.000 μB per formula unit. The calculation puts the volume at 532.5 Å³ per cell.

Entry 12:
Sr2In2Ga: relaxed, PBE.

It has space group P4/mbm (No. 127), with a = 7.743 Å, b = 7.743 Å, c = 5.279 Å, α = 90.00°, β = 90.00° and γ = 90.00°. The distinct sites, in fractional coordinates, are Sr at (0.173, 0.327, 0.000), In at (0.136, 0.636, 0.500) and Ga at (0.000, 0.000, 0.500).

The value obtained for the formation energy is -0.30 eV/atom. Its magnetic moment is 0.000 μB per formula unit. The calculation puts the volume at 316.5 Å³ per cell.